Computed, not measured: crystalline CrCoOsO6 at its relaxed geometry at the PBE+U level of DFT.

```
CrCoOsO6
1.0
-0.163 4.733 1.300
-4.117 -2.325 -1.328
-1.350 -2.305 8.223
Cr O Co Os
2 12 2 2
direct
0.333 0.667 0.250 Cr
0.667 0.333 0.750 Cr
0.660 0.669 0.624 O
0.331 0.991 0.624 O
0.340 0.331 0.376 O
0.669 0.660 0.124 O
0.340 0.009 0.124 O
0.660 0.991 0.876 O
0.669 0.009 0.376 O
0.991 0.331 0.124 O
0.009 0.669 0.876 O
0.331 0.340 0.876 O
0.991 0.660 0.376 O
0.009 0.340 0.624 O
0.000 0.000 0.000 Co
0.000 0.000 0.500 Co
0.333 0.667 0.750 Os
0.667 0.333 0.250 Os
```

Values from the calculation:
- Mass density: 7.30 g/cm³
- Crystal system: trigonal
- Symmetry: No. 163
- Raw total energy: -7.053 eV per atom